# 1
{
  "formula": "CaTlIn",
  "functional": "PBE",
  "state": "relaxed",
  "spacegroup": "P-1 (2)",
  "final_energy_ev_per_atom": -2.69,
  "dos_at_fermi_per_ev_cell": 3.16,
  "cell": [[-5.105, -5.817, -0.325], [1.151, -0.736, -4.824], [5.211, 0.425, 3.785]],
  "species": ["Ca", "Ca", "Tl", "Tl", "In", "In"],
  "frac_coords": [[0.117, 0.417, 0.551], [0.557, 0.351, 0.424], [0.098, 0.721, 0.158], [0.577, 0.048, 0.817], [0.673, 0.721, 0.162], [0.001, 0.048, 0.813]]
}

# 2
{
  "formula": "CaTlIn",
  "functional": "PBE",
  "state": "relaxed",
  "spacegroup": "Imma (74)",
  "final_energy_ev_per_atom": -2.67,
  "dos_at_fermi_per_ev_cell": 2.83,
  "cell": [[5.117, 0.000, 0.000], [2.559, 5.778, -0.913], [2.559, -0.371, 5.838]],
  "species": ["Ca", "Ca", "In", "In", "Tl", "Tl"],
  "frac_coords": [[0.500, 0.500, 0.000], [0.000, 0.000, 0.500], [0.750, 0.579, 0.421], [0.250, 0.421, 0.579], [0.250, 0.091, 0.909], [0.750, 0.909, 0.091]]
}

# 3
{
  "formula": "Ca2TlIn3",
  "functional": "PBE",
  "state": "relaxed",
  "spacegroup": "Pmm2 (25)",
  "final_energy_ev_per_atom": -2.77,
  "dos_at_fermi_per_ev_cell": 2.94,
  "cell": [[-0.234, -2.221, -2.963], [4.280, -2.353, 1.425], [-4.762, -5.800, 4.725]],
  "species": ["In", "In", "In", "Ca", "Ca", "Tl"],
  "frac_coords": [[0.500, 0.500, 0.670], [0.500, 0.000, 0.833], [0.500, 0.000, 0.162], [0.000, 0.500, 0.000], [0.000, 0.000, 0.500], [0.500, 0.500, 0.335]]
}

# 4
{
  "formula": "CaTl4In",
  "functional": "PBE",
  "state": "relaxed",
  "spacegroup": "C2/c (15)",
  "final_energy_ev_per_atom": -2.46,
  "dos_at_fermi_per_ev_cell": 7.11,
  "polymorph_energy_ev_per_fu": 0.26,
  "cell": [[-2.908, -5.525, 0.487], [2.007, 2.330, -6.388], [8.726, -2.667, 3.995]],
  "species": ["Tl", "Tl", "Tl", "Tl", "Tl", "Tl", "Tl", "Tl", "Ca", "Ca", "In", "In"],
  "frac_coords": [[0.786, 0.033, 0.570], [0.442, 0.724, 0.926], [0.214, 0.967, 0.430], [0.016, 0.798, 0.074], [0.558, 0.276, 0.074], [0.984, 0.202, 0.926], [0.715, 0.463, 0.430], [0.285, 0.537, 0.570], [0.371, 0.621, 0.242], [0.629, 0.379, 0.758], [0.121, 0.871, 0.743], [0.879, 0.129, 0.257]]
}

# 5
{
  "formula": "Ca5TlIn4",
  "functional": "PBE",
  "state": "relaxed",
  "spacegroup": "P4/mmm (123)",
  "final_energy_ev_per_atom": -2.79,
  "dos_at_fermi_per_ev_cell": 6.72,
  "cell": [[-0.309, 3.687, -1.218], [-3.866, -0.178, 0.445], [1.782, 6.066, 17.917]],
  "species": ["Tl", "In", "In", "In", "In", "Ca", "Ca", "Ca", "Ca", "Ca"],
  "frac_coords": [[0.000, 0.000, 0.000], [0.000, 0.000, 0.400], [0.000, 0.000, 0.600], [0.000, 0.000, 0.202], [0.000, 0.000, 0.798], [0.500, 0.500, 0.898], [0.500, 0.500, 0.699], [0.500, 0.500, 0.102], [0.500, 0.500, 0.500], [0.500, 0.500, 0.301]]
}

# 6
{
  "formula": "CaTlIn2",
  "functional": "PBE",
  "state": "relaxed",
  "spacegroup": "Pmm2 (25)",
  "final_energy_ev_per_atom": -2.68,
  "dos_at_fermi_per_ev_cell": 1.69,
  "cell": [[4.036, 0.000, 0.000], [0.000, 3.845, 0.000], [0.000, 0.000, 7.271]],
  "species": ["In", "In", "Tl", "Ca"],
  "frac_coords": [[0.000, 0.000, 0.022], [0.500, 0.500, 0.243], [0.000, 0.000, 0.483], [0.500, 0.500, 0.752]]
}